Record 1
GGA-PBE YMgAg2, relaxed; formation energy = -150 meV/atom; crystal system = orthorhombic; D(E_F) = 5.4 states/eV/cell; calculated total energy = -3.59 eV per atom; SG = Imm2
1.0
3.691 0.000 0.000
0.000 4.951 0.000
0.000 0.000 9.664
Y Mg Ag
2 2 4
direct
0.000 0.000 0.000
0.500 0.500 0.500
0.000 0.500 0.223
0.500 0.000 0.723
0.000 0.000 0.493
0.000 0.500 0.760
0.500 0.000 0.260
0.500 0.500 0.993

Record 2
GGA-PBE TaInS2, relaxed; crystal system = hexagonal; D(E_F) = 3.7 states/eV/cell; ΔE_f (raw) = -0.840 eV/atom; calculated total energy = -6.55 eV per atom; SG = P6_3/mmc
1.0
3.348 0.000 0.000
-1.674 2.899 0.000
0.000 0.000 17.026
Ta In S
2 2 4
direct
0.000 0.000 0.250
0.000 0.000 0.750
0.000 0.000 0.000
0.000 0.000 0.500
0.333 0.667 0.158
0.333 0.667 0.342
0.667 0.333 0.658
0.667 0.333 0.842

Record 3
GGA-PBE TmAlZnGe2, relaxed; formation energy = -239 meV/atom; crystal system = monoclinic; D(E_F) = 1.3 states/eV/cell; calculated total energy = -3.98 eV per atom; SG = C2/m
1.0
7.201 -2.027 0.000
7.201 2.027 0.000
-1.641 0.000 7.875
Tm Al Zn Ge
2 2 2 4
direct
0.219 0.219 0.188
0.781 0.781 0.812
0.440 0.440 0.338
0.560 0.560 0.662
0.178 0.178 0.539
0.822 0.822 0.461
0.134 0.134 0.832
0.381 0.381 0.649
0.619 0.619 0.351
0.866 0.866 0.168